No. 1
Density functional theory data (PBE-GGA) for a relaxed La3Pr4Ho crystal.

Results
- Distance to the lowest polymorph of the same formula: 0 meV per atom
- Uncorrected energy: -4.806 eV/atom

a = 24.779 Å, b = 3.725 Å, c = 6.431 Å
α = 90.00°, β = 104.99°, γ = 90.00°
Space group C2/m (No. 12)
Symmetry-distinct sites (fractional):
La 0.000 0.000 0.000
La 0.250 0.000 0.251
Pr 0.123 0.000 0.790
Pr 0.124 0.500 0.291
Ho 0.000 0.500 0.500

=====

No. 2
Density functional theory data (PBE-GGA) for a relaxed Cs2Cr2In crystal.

Results
- Distance to the lowest polymorph of the same formula: 0 meV per atom
- Uncorrected energy: -3.743 eV/atom

a = 7.232 Å, b = 7.232 Å, c = 6.324 Å
α = 90.00°, β = 90.00°, γ = 90.00°
Space group P4/mbm (No. 127)
Symmetry-distinct sites (fractional):
Cs 0.205 0.295 0.000
Cr 0.086 0.586 0.500
In 0.000 0.000 0.500

=====

No. 3
Density functional theory data (PBE-GGA) for a relaxed YCrGa2 crystal.

Results
- Uncorrected energy: -5.742 eV/atom

a = 6.688 Å, b = 6.688 Å, c = 6.688 Å
α = 90.00°, β = 90.00°, γ = 90.00°
Space group Fm-3m (No. 225)
Symmetry-distinct sites (fractional):
Y 0.000 0.000 0.000
Cr 0.000 0.000 0.500
Ga 0.250 0.250 0.250

=====

No. 4
Density functional theory data (PBE-GGA) for a relaxed YCd2PdPb crystal.

Results
- Uncorrected energy: -2.790 eV/atom

a = 5.366 Å, b = 5.366 Å, c = 5.935 Å
α = 90.00°, β = 90.00°, γ = 90.00°
Space group P4/mmm (No. 123)
Symmetry-distinct sites (fractional):
Y 0.000 0.000 0.000
Cd 0.000 0.500 0.500
Pd 0.500 0.500 0.000
Pb 0.000 0.000 0.500

=====

No. 5
Density functional theory data (PBE-GGA) for a relaxed Mn2InGa2 crystal.

Results
- Distance to the lowest polymorph of the same formula: 15 meV per atom
- Uncorrected energy: -5.330 eV/atom

a = 7.437 Å, b = 7.437 Å, c = 2.906 Å
α = 90.00°, β = 90.00°, γ = 90.00°
Space group P4/mbm (No. 127)
Symmetry-distinct sites (fractional):
Mn 0.123 0.377 0.000
In 0.000 0.000 0.000
Ga 0.172 0.672 0.500

=====

No. 6
Density functional theory data (PBE-GGA) for a relaxed Li2PbAu3 crystal.

Results
- Distance to the lowest polymorph of the same formula: 5 meV per atom
- Uncorrected energy: -3.259 eV/atom

a = 7.978 Å, b = 4.568 Å, c = 12.308 Å
α = 90.00°, β = 90.64°, γ = 90.00°
Space group C2/m (No. 12)
Symmetry-distinct sites (fractional):
Li 0.000 0.000 0.000
Li 0.000 0.000 0.500
Li 0.165 0.500 0.156
Pb 0.168 0.500 0.678
Au 0.002 0.000 0.793
Au 0.166 0.500 0.431
Au 0.167 0.500 0.934

=====

No. 7
Density functional theory data (PBE-GGA) for a relaxed SiC3 crystal.

Results
- ΔE_f (raw): 2.22 eV per atom
- Distance to the lowest polymorph of the same formula: 1720 meV per atom
- Uncorrected energy: -6.055 eV/atom

a = 2.466 Å, b = 4.249 Å, c = 7.828 Å
α = 90.00°, β = 90.00°, γ = 90.00°
Space group Immm (No. 71)
Symmetry-distinct sites (fractional):
Si 0.000 0.000 0.000
C 0.000 0.000 0.500
C 0.000 0.500 0.121

=====

No. 8
Density functional theory data (PBE-GGA) for a relaxed Li8AlGa2 crystal.

Results
- Distance to the lowest polymorph of the same formula: 0 meV per atom
- Uncorrected energy: -2.409 eV/atom

a = 8.169 Å, b = 10.717 Å, c = 4.501 Å
α = 90.00°, β = 90.00°, γ = 90.00°
Space group Cmmm (No. 65)
Symmetry-distinct sites (fractional):
Li 0.000 0.245 0.000
Li 0.164 0.000 0.000
Li 0.167 0.369 0.500
Al 0.000 0.500 0.000
Ga 0.000 0.115 0.500

=====

No. 9
Density functional theory data (PBE-GGA) for a relaxed LiErTl2I6 crystal.

Results
- ΔE_f (raw): -1.05 eV per atom
- Uncorrected energy: -3.097 eV/atom

a = 8.017 Å, b = 8.493 Å, c = 13.994 Å
α = 90.00°, β = 124.45°, γ = 90.00°
Space group P2_1/c (No. 14)
Symmetry-distinct sites (fractional):
Li 0.000 0.000 0.000
Er 0.500 0.000 0.500
Tl 0.214 0.089 0.746
I 0.143 0.194 0.450
I 0.262 0.699 0.450
I 0.353 0.017 0.249

=====

No. 10
Density functional theory data (PBE-GGA) for a relaxed MgBe2Fe crystal.

Results
- Uncorrected energy: -4.032 eV/atom

a = 2.6226 Å, b = 2.6226 Å, c = 24.4986 Å
α = 90.00°, β = 90.00°, γ = 120.00°
Space group R-3m (No. 166, hexagonal axes)
Symmetry-distinct sites (fractional):
Mg 0.0000 0.0000 0.0000
Be 0.0000 0.0000 0.2389
Fe 0.0000 0.0000 0.5000

=====

No. 11
Density functional theory data (PBE-GGA) for a relaxed Al2Ag3Au2 crystal.

Results
- Uncorrected energy: -3.205 eV/atom

a = 3.910 Å, b = 2.788 Å, c = 13.198 Å
α = 90.00°, β = 98.01°, γ = 90.00°
Space group P2/m (No. 10)
Symmetry-distinct sites (fractional):
Al 0.109 0.000 0.199
Ag 0.000 0.000 0.000
Ag 0.214 0.000 0.425
Au 0.349 0.500 0.711

=====

No. 12
Density functional theory data (PBE-GGA) for a relaxed LiCe2ZrS5 crystal.

Results
- ΔE_f (raw): -1.76 eV per atom
- Uncorrected energy: -6.533 eV/atom

a = 3.880 Å, b = 16.278 Å, c = 11.737 Å
α = 90.00°, β = 90.00°, γ = 90.00°
Space group Cmc2_1 (No. 36)
Symmetry-distinct sites (fractional):
Li 0.000 0.040 0.000
Ce 0.000 0.369 0.844
Ce 0.000 0.392 0.228
Zr 0.000 0.301 0.551
S 0.000 0.006 0.315
S 0.000 0.140 0.541
S 0.000 0.188 0.898
S 0.000 0.215 0.203
S 0.000 0.448 0.603

=====

No. 13
Density functional theory data (PBE-GGA) for a relaxed La2ZrH crystal.

Results
- Distance to the lowest polymorph of the same formula: 9 meV per atom
- Uncorrected energy: -5.319 eV/atom

a = 3.3435 Å, b = 3.3435 Å, c = 28.6442 Å
α = 90.00°, β = 90.00°, γ = 120.00°
Space group R-3m (No. 166, hexagonal axes)
Symmetry-distinct sites (fractional):
La 0.0000 0.0000 0.1095
Zr 0.0000 0.0000 0.0000
H 0.0000 0.0000 0.5000

=====

No. 14
Density functional theory data (PBE-GGA) for a relaxed CsBiF2 crystal.

Results
- ΔE_f (raw): -1.60 eV per atom
- Distance to the lowest polymorph of the same formula: 396 meV per atom
- Uncorrected energy: -3.718 eV/atom

a = 7.257 Å, b = 7.257 Å, c = 8.040 Å
α = 90.00°, β = 90.00°, γ = 90.00°
Space group I-42d (No. 122)
Symmetry-distinct sites (fractional):
Cs 0.000 0.000 0.000
Bi 0.000 0.000 0.500
F 0.203 0.250 0.625

=====

No. 15
Density functional theory data (PBE-GGA) for a relaxed BaGaReIr2 crystal.

Results
- Uncorrected energy: -5.388 eV/atom

a = 4.662 Å, b = 4.662 Å, c = 5.441 Å
α = 90.00°, β = 90.00°, γ = 90.00°
Space group P4/mmm (No. 123)
Symmetry-distinct sites (fractional):
Ba 0.000 0.000 0.000
Ga 0.000 0.000 0.500
Re 0.500 0.500 0.000
Ir 0.000 0.500 0.500

=====

No. 16
Density functional theory data (PBE-GGA) for a relaxed Ba2SnPb4 crystal.

Results
- Uncorrected energy: -3.625 eV/atom

a = 6.716 Å, b = 7.156 Å, c = 11.002 Å
α = 90.00°, β = 103.71°, γ = 90.00°
Space group P2_1/m (No. 11)
Symmetry-distinct sites (fractional):
Ba 0.120 0.250 0.406
Ba 0.285 0.750 0.009
Sn 0.137 0.250 0.828
Pb 0.255 0.250 0.116
Pb 0.272 0.750 0.396
Pb 0.398 0.510 0.696

=====

No. 17
Density functional theory data (PBE-GGA) for a relaxed CuP2PbCl crystal.

Results
- ΔE_f (raw): 0.30 eV per atom
- Distance to the lowest polymorph of the same formula: 0 meV per atom
- Uncorrected energy: -3.792 eV/atom

a = 4.363 Å, b = 4.363 Å, c = 5.515 Å
α = 90.00°, β = 90.00°, γ = 90.00°
Space group P4/mmm (No. 123)
Symmetry-distinct sites (fractional):
Cu 0.000 0.000 0.000
P 0.000 0.500 0.000
Pb 0.500 0.500 0.500
Cl 0.000 0.000 0.500

=====

No. 18
Density functional theory data (PBE-GGA) for a relaxed AcLa4Ho3Te8 crystal.

Results
- ΔE_f (raw): -1.44 eV per atom
- Uncorrected energy: -5.354 eV/atom

a = 9.0110 Å, b = 9.0110 Å, c = 22.2086 Å
α = 90.00°, β = 90.00°, γ = 120.00°
Space group R-3m (No. 166, hexagonal axes)
Symmetry-distinct sites (fractional):
Ac 0.0000 0.0000 0.0000
La 0.0000 0.0000 0.5000
La 0.0000 0.5000 0.5000
Ho 0.0000 0.5000 0.0000
Te 0.0000 0.0000 0.2563
Te 0.0134 0.5067 0.2534

=====

No. 19
Density functional theory data (PBE-GGA) for a relaxed CaEr5Pd6 crystal.

Results
- Uncorrected energy: -5.560 eV/atom

a = 8.519 Å, b = 14.796 Å, c = 4.933 Å
α = 90.00°, β = 125.25°, γ = 90.00°
Space group C2/m (No. 12)
Symmetry-distinct sites (fractional):
Ca 0.000 0.000 0.000
Er 0.000 0.163 0.500
Er 0.000 0.332 0.000
Er 0.000 0.500 0.500
Pd 0.232 0.500 0.232
Pd 0.240 0.327 0.740

=====

No. 20
Density functional theory data (PBE-GGA) for a relaxed SmPuRhPb crystal.

Results
- Uncorrected energy: -7.764 eV/atom

a = 7.382 Å, b = 7.382 Å, c = 7.382 Å
α = 90.00°, β = 90.00°, γ = 90.00°
Space group F-43m (No. 216)
Symmetry-distinct sites (fractional):
Sm 0.000 0.000 0.000
Pu 0.000 0.000 0.500
Rh 0.250 0.250 0.750
Pb 0.250 0.250 0.250

=====

In order of appearance, mass density = 6.63, 4.87, 6.22, 6.10, 7.53, 12.02, 2.60, 1.87, 5.68, 3.35, 8.99, 4.83, 6.65, 5.96, 10.92, 7.90, 5.82, 7.33, 9.91, 11.63 g/cm3.